# 1
Here is a crystal of CuNiPt relaxed with PBEsol from the Alexandria database. Energies are from meta-GGA SCAN.

For the volume, the calculation gives 37.0 Å³ per cell. For the energy above the most stable polymorph in this dataset, the calculation gives 0.061 eV per atom. The value obtained for the total energy is -33.92 eV per atom. As for the density of states at the Fermi level: 2.879 states/eV per cell. The calculated formation energy comes out at -0.18 eV per formula unit. As for the crystal system: tetragonal. The symmetry is I4mm, No. 107.

Cell: 2.677 2.677 5.494 Å, 104.10 104.10 90.00°
Sites, in units of the cell vectors:
Ni: 0.661 0.661 0.323
Pt: 0.331 0.331 0.662
Cu: 0.008 0.008 0.015

=====

# 2
Here is a crystal of CuNiPt2 relaxed with PBEsol from the Alexandria database. Energies are from meta-GGA SCAN.

For the volume, the calculation gives 52.0 Å³ per cell. The value obtained for the total energy is -43.00 eV per atom. As for the density of states at the Fermi level: 2.885 states/eV per cell. The calculated formation energy comes out at -0.23 eV per formula unit. As for the crystal system: tetragonal. The symmetry is P4mm, No. 99.

Cell: 2.712 2.712 7.068 Å, 90.00 90.00 90.00°
Sites, in units of the cell vectors:
Ni: 0.500 0.500 0.737
Cu: 0.000 0.000 0.518
Pt: 0.000 0.000 0.978
Pt: 0.500 0.500 0.267

=====

# 3
Here is a crystal of CuNi2Pt relaxed with PBEsol from the Alexandria database. Energies are from meta-GGA SCAN.

For the volume, the calculation gives 47.5 Å³ per cell. The value obtained for the total energy is -29.52 eV per atom. As for the density of states at the Fermi level: 3.186 states/eV per cell. The calculated formation energy comes out at -0.35 eV per formula unit. As for the crystal system: orthorhombic. The symmetry is Cmmm, No. 65.

Cell: 2.604 4.388 4.388 Å, 108.76 90.00 90.00°
Sites, in units of the cell vectors:
Ni: 0.000 0.500 0.000
Ni: 0.000 0.000 0.500
Cu: 0.500 0.500 0.500
Pt: 0.500 0.000 0.000

=====

# 4
Here is a crystal of CuNi2Pt relaxed with PBEsol from the Alexandria database. Energies are from meta-GGA SCAN.

For the volume, the calculation gives 47.3 Å³ per cell. The value obtained for the total energy is -29.52 eV per atom. As for the density of states at the Fermi level: 3.480 states/eV per cell. The calculated formation energy comes out at -0.33 eV per formula unit. As for the crystal system: tetragonal. The symmetry is P4/mmm, No. 123.

Cell: 3.623 3.602 3.622 Å, 90.00 90.00 90.00°
Sites, in units of the cell vectors:
Ni: 0.000 0.000 0.000
Ni: 0.500 0.000 0.500
Cu: 0.000 0.500 0.500
Pt: 0.500 0.500 0.000

=====

# 5
Here is a crystal of CuNiPt2 relaxed with PBEsol from the Alexandria database. Energies are from meta-GGA SCAN.

For the volume, the calculation gives 52.0 Å³ per cell. The value obtained for the total energy is -43.06 eV per atom. As for the density of states at the Fermi level: 4.892 states/eV per cell. The calculated formation energy comes out at -0.49 eV per formula unit. As for the crystal system: orthorhombic. The symmetry is Cmmm, No. 65.

Cell: 2.688 4.492 4.492 Å, 106.60 90.00 90.00°
Sites, in units of the cell vectors:
Ni: 0.500 0.500 0.500
Cu: 0.500 0.000 0.000
Pt: 0.000 0.500 0.000
Pt: 0.000 0.000 0.500

=====

# 6
Here is a crystal of CuNi2Pt relaxed with PBEsol from the Alexandria database. Energies are from meta-GGA SCAN.

For the volume, the calculation gives 47.7 Å³ per cell. The value obtained for the total energy is -29.50 eV per atom. As for the density of states at the Fermi level: 2.601 states/eV per cell. The calculated formation energy comes out at -0.27 eV per formula unit. As for the crystal system: monoclinic. The symmetry is C2/m, No. 12.

Cell: 2.627 4.388 4.419 Å, 100.57 107.26 90.01°
Sites, in units of the cell vectors:
Ni: 0.250 0.255 0.501
Ni: 0.749 0.745 0.499
Cu: 0.000 0.500 0.000
Pt: 0.500 0.000 0.000

=====

# 7
Here is a crystal of Cu2NiPt relaxed with PBEsol from the Alexandria database. Energies are from meta-GGA SCAN.

For the volume, the calculation gives 49.0 Å³ per cell. The value obtained for the total energy is -29.22 eV per atom. As for the density of states at the Fermi level: 2.365 states/eV per cell. The calculated formation energy comes out at -0.12 eV per formula unit. As for the crystal system: trigonal. The symmetry is R-3m, No. 166.

Cell: 2.615 2.615 8.408 Å, 81.06 81.06 60.00°
Sites, in units of the cell vectors:
Ni: 0.500 0.500 0.500
Cu: 0.245 0.245 0.265
Cu: 0.755 0.755 0.735
Pt: 0.000 0.000 0.000

=====

# 8
Here is a crystal of CuNi2Pt relaxed with PBEsol from the Alexandria database. Energies are from meta-GGA SCAN.

For the volume, the calculation gives 47.5 Å³ per cell. The value obtained for the total energy is -29.53 eV per atom. As for the density of states at the Fermi level: 2.444 states/eV per cell. The calculated formation energy comes out at -0.37 eV per formula unit. As for the crystal system: monoclinic. The symmetry is Cm, No. 8.

Cell: 2.616 4.388 4.421 Å, 100.82 107.21 90.00°
Sites, in units of the cell vectors:
Ni: 0.998 0.000 0.996
Ni: 0.254 0.756 0.507
Cu: 0.747 0.238 0.493
Pt: 0.502 0.506 0.004

=====

# 9
Here is a crystal of Cu2NiPt relaxed with PBEsol from the Alexandria database. Energies are from meta-GGA SCAN.

For the volume, the calculation gives 48.2 Å³ per cell. The value obtained for the total energy is -29.26 eV per atom. As for the density of states at the Fermi level: 4.281 states/eV per cell. The calculated formation energy comes out at -0.29 eV per formula unit. As for the crystal system: tetragonal. The symmetry is I4/mmm, No. 139.

Cell: 3.634 3.634 4.466 Å, 114.01 114.01 90.00°
Sites, in units of the cell vectors:
Ni: 0.500 0.500 0.000
Cu: 0.750 0.250 0.500
Cu: 0.250 0.750 0.500
Pt: 0.000 0.000 0.000

=====

# 10
Here is a crystal of CuNiPt2 relaxed with PBEsol from the Alexandria database. Energies are from meta-GGA SCAN.

For the volume, the calculation gives 52.2 Å³ per cell. The value obtained for the total energy is -43.11 eV per atom. As for the density of states at the Fermi level: 2.728 states/eV per cell. The calculated formation energy comes out at -0.67 eV per formula unit. As for the crystal system: orthorhombic. The symmetry is Pmmm, No. 47.

Cell: 2.708 3.547 5.430 Å, 90.00 90.00 90.00°
Sites, in units of the cell vectors:
Ni: 0.500 0.500 0.500
Cu: 0.500 0.500 0.000
Pt: 0.000 0.000 0.747
Pt: 0.000 0.000 0.253

=====

# 11
Here is a crystal of CuNi2Pt relaxed with PBEsol from the Alexandria database. Energies are from meta-GGA SCAN.

For the volume, the calculation gives 47.3 Å³ per cell. The value obtained for the total energy is -29.52 eV per atom. As for the density of states at the Fermi level: 3.064 states/eV per cell. The calculated formation energy comes out at -0.35 eV per formula unit. As for the crystal system: tetragonal. The symmetry is I4/mmm, No. 139.

Cell: 3.628 3.628 4.417 Å, 114.25 114.25 90.00°
Sites, in units of the cell vectors:
Ni: 0.250 0.750 0.500
Ni: 0.750 0.250 0.500
Cu: 0.000 0.000 0.000
Pt: 0.500 0.500 0.000

=====

# 12
Here is a crystal of CuNiPt2 relaxed with PBEsol from the Alexandria database. Energies are from meta-GGA SCAN.

For the volume, the calculation gives 52.2 Å³ per cell. The value obtained for the total energy is -43.06 eV per atom. As for the density of states at the Fermi level: 2.978 states/eV per cell. The calculated formation energy comes out at -0.48 eV per formula unit. As for the crystal system: monoclinic. The symmetry is Cm, No. 8.

Cell: 2.697 4.484 4.618 Å, 101.56 106.98 90.00°
Sites, in units of the cell vectors:
Ni: 0.753 0.241 0.505
Cu: 0.495 0.506 0.990
Pt: 0.005 0.021 0.010
Pt: 0.247 0.732 0.495

=====

Which formula does entry 1 have? CuNiPt